Crystalline La2Cd3Bi3 at its relaxed geometry. Source: Alexandria, functional PBE.

Unit cell a=4.801 b=5.165 c=9.375 alpha=90.00 beta=90.00 gamma=90.00
Fractional coordinates of all 8 atoms:
La 0.000 0.000 0.247
La 0.000 0.000 0.753
Cd 0.000 0.500 0.500
Cd 0.500 0.500 0.270
Cd 0.500 0.500 0.730
Bi 0.000 0.500 0.000
Bi 0.500 0.000 0.000
Bi 0.500 0.000 0.500

Total magnetization: 0.0 Bohr magnetons per cell
ΔH_f (0 K): -4.0 eV per formula unit



Crystalline Fe2MoOs2 at its relaxed geometry. Source: Alexandria, functional PBE.

Unit cell a=7.170 b=7.170 c=2.629 alpha=90.00 beta=90.00 gamma=90.00
Fractional coordinates of all 10 atoms:
Fe 0.168 0.332 0.000
Fe 0.332 0.832 0.000
Fe 0.668 0.168 0.000
Fe 0.832 0.668 0.000
Mo 0.000 0.000 0.500
Mo 0.500 0.500 0.500
Os 0.128 0.628 0.500
Os 0.372 0.128 0.500
Os 0.628 0.872 0.500
Os 0.872 0.372 0.500

Total magnetization: 0.0 Bohr magnetons per cell
ΔH_f (0 K): 1.2 eV per formula unit
Energy above the lowest structure with this stoichiometry: 90 meV/atom



Crystalline Rb2CrHg2Br4 at its relaxed geometry. Source: Alexandria, functional PBE.

Unit cell a=7.390 b=7.390 c=7.390 alpha=112.87 beta=112.87 gamma=102.86
Fractional coordinates of all 9 atoms:
Rb 0.250 0.750 0.500
Rb 0.750 0.250 0.500
Cr 0.000 0.000 0.000
Hg 0.323 0.323 0.000
Hg 0.677 0.677 0.000
Br 0.220 0.220 0.439
Br 0.220 0.780 0.000
Br 0.780 0.220 0.000
Br 0.780 0.780 0.561

Total magnetization: 4.0 Bohr magnetons per cell
Raw formation energy: -984 meV per atom



Crystalline ThScZn2Ga2 at its relaxed geometry. Source: Alexandria, functional PBE.

Unit cell a=4.371 b=4.371 c=7.160 alpha=90.00 beta=90.00 gamma=120.00
Fractional coordinates of all 6 atoms:
Th 0.000 0.000 0.000
Sc 0.000 0.000 0.500
Zn 0.333 0.667 0.293
Zn 0.667 0.333 0.707
Ga 0.333 0.667 0.722
Ga 0.667 0.333 0.278

Total magnetization: 0.0 Bohr magnetons per cell
ΔH_f (0 K): -3.1 eV per formula unit



Crystalline YAu3Br at its relaxed geometry. Source: Alexandria, functional PBE.

Unit cell a=5.117 b=5.117 c=5.117 alpha=90.00 beta=90.00 gamma=90.00
Fractional coordinates of all 5 atoms:
Y 0.000 0.000 0.000
Au 0.000 0.500 0.500
Au 0.500 0.000 0.500
Au 0.500 0.500 0.000
Br 0.500 0.500 0.500

Total magnetization: 0.0 Bohr magnetons per cell
Raw formation energy: 539 meV per atom
Energy above the lowest structure with this stoichiometry: 107 meV/atom



Crystalline BiN2F3 at its relaxed geometry. Source: Alexandria, functional PBE.

Unit cell a=4.548 b=7.409 c=7.639 alpha=90.00 beta=91.27 gamma=90.00
Fractional coordinates of all 12 atoms:
Bi 0.019 0.250 0.050
Bi 0.981 0.750 0.950
N 0.287 0.250 0.446
N 0.445 0.250 0.560
N 0.555 0.750 0.440
N 0.713 0.750 0.554
F 0.011 0.057 0.834
F 0.011 0.443 0.834
F 0.479 0.750 0.961
F 0.521 0.250 0.039
F 0.989 0.557 0.166
F 0.989 0.943 0.166

Total magnetization: 0.0 Bohr magnetons per cell
Raw formation energy: -1593 meV per atom